Here is a relaxed structure of CrCu3Pt7 from Alexandria. Energies are from PBE.

Lattice parameters (Å, degrees): 8.5587 9.1010 4.9799 90.00 115.12 90.00
Closest atoms and distances in Å follow each position.
Space group C2/m (No. 12)
Asymmetric unit:
Cr: 0.0000 0.0000 0.0000 (multiplicity 2)  8 Pt 2.49-2.70
Cu: 0.0000 0.2757 0.5000 (multiplicity 4)  7 Pt 2.51-2.60
Cu: 0.0000 0.5000 0.0000 (multiplicity 2)  6 Pt 2.52-2.59
Pt: 0.0000 0.0000 0.5000 (multiplicity 2)  2 Cr 2.49, 2 Cu 2.51, 2 Pt 2.73
Pt: 0.1711 0.2570 0.1781 (multiplicity 8)  3 Cu 2.59-2.60, 4 Pt 2.65-2.83, 1 Cr 2.70
Pt: 0.1939 0.5000 0.5485 (multiplicity 4)  3 Cu 2.52-2.58, 1 Cr 2.63, 3 Pt 2.71-2.73

density of states at the Fermi level = 28.5 states/eV/cell
total moment = 5.56 μB/cell
calculated density = 15.2 g cm⁻³
crystal system = monoclinic
energy of formation from the pure elements = 0.1423 eV per atom


Here is a relaxed structure of Ac2CuNiH6 from Alexandria. Energies are from PBE.

Lattice parameters (Å, degrees): 7.5598 7.7454 5.4105 90.00 134.31 90.00
Closest atoms and distances in Å follow each position.
Space group C2/m (No. 12)
Asymmetric unit:
Ac: 0.0000 0.2501 0.0000 (multiplicity 4)  12 H 2.71-2.75
Cu: 0.0000 0.0000 0.5000 (multiplicity 2)  6 H 2.02-2.13
Ni: 0.0000 0.5000 0.5000 (multiplicity 2)  6 H 1.74-1.76
H: 0.0000 0.2752 0.5000 (multiplicity 4)  1 Ni 1.74
H: 0.2243 0.5000 0.9493 (multiplicity 4)  1 Ni 1.74
H: 0.2320 0.5000 0.4980 (multiplicity 4)  1 Ni 1.76

density of states at the Fermi level = 5.8 states/eV/cell
total moment = 0.00 μB/cell
calculated density = 8.5 g cm⁻³
crystal system = monoclinic
final energy = -4.141 eV/atom